# 1
First-principles (PBE) data for an optimized crystal structure of Tb2PmErS6, as listed in the Alexandria database.

abc: 6.9715 6.9715 7.3902
angles: 61.85 61.85 59.99
With the nearest neighbours (Å) after each atom.
Atoms (fractional coordinates):
1 Tb 0.5185 0.5185 0.4446  6 S 2.74-2.80
2 Tb 0.0155 0.0156 0.9534  6 S 2.72-2.80
3 S 0.9211 0.6109 0.2491  1 Er 2.71, 2 Tb 2.74-2.80, 1 Pm 2.88
4 S 0.6109 0.2191 0.2490  1 Er 2.71, 2 Tb 2.74-2.80, 1 Pm 2.88
5 S 0.4058 0.7156 0.7521  2 Tb 2.72-2.80, 1 Er 2.76, 1 Pm 2.78
6 S 0.1265 0.4059 0.7521  2 Tb 2.72-2.80, 1 Er 2.76, 1 Pm 2.78
7 S 0.7156 0.1264 0.7521  2 Tb 2.72-2.80, 1 Er 2.76, 1 Pm 2.78
8 S 0.2190 0.9210 0.2490  1 Er 2.71, 2 Tb 2.74-2.80, 1 Pm 2.88
9 Er 0.3167 0.3166 0.0500  6 S 2.71-2.76
10 Pm 0.8120 0.8121 0.5638  6 S 2.78-2.88

Computed properties:
As for the space-group type: R3 (146). For the magnetization, the calculation gives 0.000 μB per formula unit.

=====

# 2
First-principles (PBE) data for an optimized crystal structure of TbPm3Er2S6, as listed in the Alexandria database.

abc: 6.8288 6.8288 6.9173
angles: 99.45 99.45 120.18
With the nearest neighbours (Å) after each atom.
Atoms (fractional coordinates):
1 S 0.7411 0.7411 0.2349  2 Er 2.73, 1 Tb 2.76, 3 Pm 2.84-2.86
2 S 0.2589 0.2589 0.7651  2 Er 2.73, 1 Tb 2.76, 3 Pm 2.84-2.86
3 S 0.4157 0.0786 0.2362  2 Er 2.74, 1 Tb 2.77, 3 Pm 2.85-2.86
4 S 0.0786 0.4157 0.2362  2 Er 2.74, 1 Tb 2.77, 3 Pm 2.85-2.86
5 S 0.9214 0.5843 0.7638  2 Er 2.74, 1 Tb 2.77, 3 Pm 2.85-2.86
6 S 0.5843 0.9214 0.7638  2 Er 2.74, 1 Tb 2.77, 3 Pm 2.85-2.86
7 Pm 0.8351 0.1649 0.5000  6 S 2.85-2.86
8 Pm 0.5000 0.5000 0.5000  6 S 2.84-2.86
9 Pm 0.1649 0.8351 0.5000  6 S 2.85-2.86
10 Er 0.3335 0.6665 0.0000  6 S 2.73-2.74
11 Er 0.6665 0.3335 0.0000  6 S 2.73-2.74
12 Tb 0.0000 0.0000 0.0000  6 S 2.76-2.77

Computed properties:
As for the space-group type: C2/m (12). For the magnetization, the calculation gives 0.000 μB per formula unit.

=====

So what do the calculations give for raw total energy? Going down the list: -6.38, -6.41 eV/atom.